Entry 1:
Here is a geometry-optimized Sb2W structure from the Alexandria database. Energies are from PBEsol. Values from VASP.

Output
Total DFT energy (no corrections) ... -6.47 eV per atom
N(E_F) ... 0.9814 states/eV/atom
Symmetry ... P6/mmm (191)
M_tot ... 0.00 μB per formula unit

The structure in Quantum ESPRESSO input format:
```
&SYSTEM
  ibrav = 0, nat = 3, ntyp = 2
/
ATOMIC_SPECIES
Sb 121.76 Sb.upf
W 183.84 W.upf
CELL_PARAMETERS angstrom
2.888 0.000 0.000
0.000 5.067 0.000
0.000 -2.534 4.388
ATOMIC_POSITIONS crystal
Sb 0.000 0.333 0.667
Sb 0.000 0.667 0.333
W 0.500 0.000 0.000
```

Entry 2:
Here is a geometry-optimized ZrTaCr2 structure from the Alexandria database. Energies are from PBEsol. Values from VASP.

Output
Total DFT energy (no corrections) ... -10.04 eV per atom
N(E_F) ... 1.4624 states/eV/atom
Symmetry ... C2/m (12)
M_tot ... 0.01 μB per formula unit
Energy relative to the elements ... 0.495 eV/atom

The structure in Quantum ESPRESSO input format:
```
&SYSTEM
  ibrav = 0, nat = 4, ntyp = 3
/
ATOMIC_SPECIES
Cr 52.00 Cr.upf
Zr 91.22 Zr.upf
Ta 180.95 Ta.upf
CELL_PARAMETERS angstrom
2.946 0.000 0.000
-1.473 3.989 0.136
0.000 -0.805 5.323
ATOMIC_POSITIONS crystal
Cr 0.757 0.514 0.771
Zr 0.000 0.000 0.500
Cr 0.243 0.486 0.229
Ta 0.500 0.000 0.000
```

Entry 3:
Here is a geometry-optimized K2ZrIr structure from the Alexandria database. Energies are from PBEsol. Values from VASP.

Output
Total DFT energy (no corrections) ... -4.59 eV per atom
N(E_F) ... 0.7114 states/eV/atom
Symmetry ... C2/m (12)
M_tot ... 0.03 μB per formula unit
Energy relative to the elements ... 0.701 eV/atom

The structure in Quantum ESPRESSO input format:
```
&SYSTEM
  ibrav = 0, nat = 4, ntyp = 3
/
ATOMIC_SPECIES
Ir 192.22 Ir.upf
K 39.10 K.upf
Zr 91.22 Zr.upf
CELL_PARAMETERS angstrom
3.871 0.015 0.000
-0.094 3.974 0.000
-1.888 -1.995 6.203
ATOMIC_POSITIONS crystal
Ir 0.000 0.500 0.000
K 0.000 0.000 0.500
K 0.500 0.500 0.500
Zr 0.500 0.000 0.000
```